# NaAg2AsI6 (PBE-GGA, relaxed)
data_NaAg2AsI6
_chemical_formula_sum 'Na3 Ag6 As3 I18'
_symmetry_space_group_name_H-M 'R 3'
_symmetry_Int_Tables_number 146
_symmetry_space_group_name_Hall 'R 3'
_cell_length_a 7.6561
_cell_length_b 7.6561
_cell_length_c 20.9037
_cell_angle_alpha 90.00
_cell_angle_beta 90.00
_cell_angle_gamma 120.00
loop_
_atom_site_label
_atom_site_type_symbol
_atom_site_fract_x
_atom_site_fract_y
_atom_site_fract_z
Na1 Na 0.0000 0.0000 0.0000
Ag1 Ag 0.0000 0.0000 0.1809
Ag2 Ag 0.0000 0.0000 0.7052
As1 As 0.0000 0.0000 0.5131
I1 I 0.0181 0.3418 0.0994
I2 I 0.0455 0.6902 0.2607
# Energy relative to the elements, uncorrected: -3.60 eV/f.u.

***

# Na2AgAsI6 (PBE-GGA, relaxed)
data_Na2AgAsI6
_chemical_formula_sum 'Na2 Ag1 As1 I6'
_symmetry_space_group_name_H-M 'P 1'
_symmetry_Int_Tables_number 1
_cell_length_a 7.8274
_cell_length_b 7.8334
_cell_length_c 8.1932
_cell_angle_alpha 118.50
_cell_angle_beta 90.01
_cell_angle_gamma 119.94
loop_
_symmetry_equiv_pos_as_xyz
'x,y,z'
loop_
_atom_site_label
_atom_site_type_symbol
_atom_site_fract_x
_atom_site_fract_y
_atom_site_fract_z
Na1 Na 0.0000 0.0000 0.0000
Na2 Na 0.4913 0.9829 0.4749
Ag1 Ag 0.1965 0.3927 0.5876
As1 As 0.6893 0.3790 0.0678
I1 I 0.0487 0.4906 0.3083
I2 I 0.3214 0.2414 0.8122
I3 I 0.4420 0.2599 0.3085
I4 I 0.5716 0.8936 0.8127
I5 I 0.8173 0.8658 0.3081
I6 I 0.9192 0.4907 0.8120
# Energy relative to the elements, uncorrected: -5.80 eV/f.u.

***

# NbAg2AsI (PBE-GGA, relaxed)
data_NbAg2AsI
_chemical_formula_sum 'Nb1 Ag2 As1 I1'
_symmetry_space_group_name_H-M 'P 4/m m m'
_symmetry_Int_Tables_number 123
_symmetry_space_group_name_Hall '-P 4 2'
_cell_length_a 5.0084
_cell_length_b 5.0084
_cell_length_c 5.1735
_cell_angle_alpha 90.00
_cell_angle_beta 90.00
_cell_angle_gamma 90.00
loop_
_atom_site_label
_atom_site_type_symbol
_atom_site_fract_x
_atom_site_fract_y
_atom_site_fract_z
Nb1 Nb 0.0000 0.0000 0.0000
Ag1 Ag 0.0000 0.5000 0.5000
As1 As 0.0000 0.0000 0.5000
I1 I 0.5000 0.5000 0.0000
# DOS at the Fermi energy: 2.0 states/eV/cell
# Energy relative to the elements, uncorrected: 2.26 eV/f.u.

***

# AgAs2IO8 (PBE-GGA, relaxed)
data_AgAs2IO8
_chemical_formula_sum 'Ag3 As6 I3 O24'
_symmetry_space_group_name_H-M 'R -3'
_symmetry_Int_Tables_number 148
_symmetry_space_group_name_Hall '-R 3'
_cell_length_a 5.0532
_cell_length_b 5.0532
_cell_length_c 24.2336
_cell_angle_alpha 90.00
_cell_angle_beta 90.00
_cell_angle_gamma 120.00
loop_
_atom_site_label
_atom_site_type_symbol
_atom_site_fract_x
_atom_site_fract_y
_atom_site_fract_z
Ag1 Ag 0.0000 0.0000 0.0000
As1 As 0.0000 0.0000 0.2463
I1 I 0.0000 0.0000 0.5000
O1 O 0.0000 0.0000 0.3150
O2 O 0.0063 0.3496 0.8858
# DOS at the Fermi energy: 0.0 states/eV/cell
# Energy relative to the elements, uncorrected: -7.39 eV/f.u.

***

# Rb2AgAsI (PBE-GGA, relaxed)
data_Rb2AgAsI
_chemical_formula_sum 'Rb2 Ag1 As1 I1'
_symmetry_space_group_name_H-M 'P 4/m m m'
_symmetry_Int_Tables_number 123
_symmetry_space_group_name_Hall '-P 4 2'
_cell_length_a 6.8022
_cell_length_b 6.8022
_cell_length_c 4.8003
_cell_angle_alpha 90.00
_cell_angle_beta 90.00
_cell_angle_gamma 90.00
loop_
_atom_site_label
_atom_site_type_symbol
_atom_site_fract_x
_atom_site_fract_y
_atom_site_fract_z
Rb1 Rb 0.0000 0.5000 0.0000
Ag1 Ag 0.0000 0.0000 0.5000
As1 As 0.0000 0.0000 0.0000
I1 I 0.5000 0.5000 0.5000
# DOS at the Fermi energy: 3.2 states/eV/cell
# Energy relative to the elements, uncorrected: -2.62 eV/f.u.

***

# RbAgAsI6 (PBE-GGA, relaxed)
data_RbAgAsI6
_chemical_formula_sum 'Rb1 Ag1 As1 I6'
_symmetry_space_group_name_H-M 'P 1'
_symmetry_Int_Tables_number 1
_cell_length_a 7.4179
_cell_length_b 7.5222
_cell_length_c 7.8899
_cell_angle_alpha 102.82
_cell_angle_beta 93.54
_cell_angle_gamma 109.68
loop_
_symmetry_equiv_pos_as_xyz
'x,y,z'
loop_
_atom_site_label
_atom_site_type_symbol
_atom_site_fract_x
_atom_site_fract_y
_atom_site_fract_z
Rb1 Rb 0.0000 0.0000 0.0000
Ag1 Ag 0.6944 0.1591 0.5920
As1 As 0.4062 0.5461 0.5114
I1 I 0.1090 0.3233 0.6874
I2 I 0.1421 0.5448 0.2599
I3 I 0.4337 0.9003 0.7781
I4 I 0.4767 0.2225 0.2976
I5 I 0.6596 0.4901 0.8139
I6 I 0.7337 0.8105 0.4018
# DOS at the Fermi energy: 5.7 states/eV/cell
# Energy relative to the elements, uncorrected: -3.66 eV/f.u.

***

# Ag5AsSe4I2 (PBE-GGA, relaxed)
data_Ag5AsSe4I2
_chemical_formula_sum 'Ag10 As2 Se8 I4'
_symmetry_space_group_name_H-M 'A m m 2'
_symmetry_Int_Tables_number 38
_cell_length_a 8.0283
_cell_length_b 12.0916
_cell_length_c 6.8114
_cell_angle_alpha 90.00
_cell_angle_beta 90.00
_cell_angle_gamma 90.00
loop_
_symmetry_equiv_pos_as_xyz
'x,y,z'
'-x,-y,z'
'-x,y,z'
'x,-y,z'
'x,y+1/2,z+1/2'
'-x,-y+1/2,z+1/2'
'-x,y+1/2,z+1/2'
'x,-y+1/2,z+1/2'
loop_
_atom_site_label
_atom_site_type_symbol
_atom_site_fract_x
_atom_site_fract_y
_atom_site_fract_z
Ag1 Ag 0.0000 0.0000 0.0000
Ag2 Ag 0.2879 0.1894 0.4471
As1 As 0.5000 0.0000 0.0406
Se1 Se 0.2586 0.0000 0.2469
Se2 Se 0.5000 0.1597 0.8244
I1 I 0.0000 0.1690 0.6947
# DOS at the Fermi energy: 1.8 states/eV/cell
# Energy relative to the elements, uncorrected: -1.35 eV/f.u.

***

# AgAsSe2I (PBE-GGA, relaxed)
data_AgAsSe2I
_chemical_formula_sum 'Ag2 As2 Se4 I2'
_symmetry_space_group_name_H-M 'P 1 21/m 1'
_symmetry_Int_Tables_number 11
_cell_length_a 7.1271
_cell_length_b 5.3658
_cell_length_c 7.9514
_cell_angle_alpha 90.00
_cell_angle_beta 99.44
_cell_angle_gamma 90.00
loop_
_symmetry_equiv_pos_as_xyz
'x,y,z'
'-x,-y,-z'
'-x,y+1/2,-z'
'x,-y+1/2,z'
loop_
_atom_site_label
_atom_site_type_symbol
_atom_site_fract_x
_atom_site_fract_y
_atom_site_fract_z
Ag1 Ag 0.1565 0.2500 0.4098
As1 As 0.1110 0.2500 0.8864
Se1 Se 0.1063 0.7500 0.3996
Se2 Se 0.1416 0.7500 0.9426
I1 I 0.4637 0.2500 0.2466
# DOS at the Fermi energy: 3.9 states/eV/cell
# Energy relative to the elements, uncorrected: -0.28 eV/f.u.
# Energy above the most stable polymorph in this dataset: 0.0000 eV/atom

***

# AgAsSe2I (PBE-GGA, relaxed)
data_AgAsSe2I
_chemical_formula_sum 'Ag1 As1 Se2 I1'
_symmetry_space_group_name_H-M 'P 4/m m m'
_symmetry_Int_Tables_number 123
_symmetry_space_group_name_Hall '-P 4 2'
_cell_length_a 5.0772
_cell_length_b 5.0772
_cell_length_c 5.2090
_cell_angle_alpha 90.00
_cell_angle_beta 90.00
_cell_angle_gamma 90.00
loop_
_atom_site_label
_atom_site_type_symbol
_atom_site_fract_x
_atom_site_fract_y
_atom_site_fract_z
Ag1 Ag 0.0000 0.0000 0.0000
As1 As 0.0000 0.0000 0.5000
Se1 Se 0.0000 0.5000 0.0000
I1 I 0.5000 0.5000 0.5000
# DOS at the Fermi energy: 6.5 states/eV/cell
# Energy relative to the elements, uncorrected: 3.63 eV/f.u.
# Energy above the most stable polymorph in this dataset: 0.7822 eV/atom

***

# Ag2SnAsI (PBE-GGA, relaxed)
data_Ag2SnAsI
_chemical_formula_sum 'Ag2 Sn1 As1 I1'
_symmetry_space_group_name_H-M 'P 4/m m m'
_symmetry_Int_Tables_number 123
_symmetry_space_group_name_Hall '-P 4 2'
_cell_length_a 4.9724
_cell_length_b 4.9724
_cell_length_c 5.9272
_cell_angle_alpha 90.00
_cell_angle_beta 90.00
_cell_angle_gamma 90.00
loop_
_atom_site_label
_atom_site_type_symbol
_atom_site_fract_x
_atom_site_fract_y
_atom_site_fract_z
Ag1 Ag 0.0000 0.5000 0.0000
Sn1 Sn 0.0000 0.0000 0.5000
As1 As 0.0000 0.0000 0.0000
I1 I 0.5000 0.5000 0.5000
# DOS at the Fermi energy: 0.7 states/eV/cell
# Energy relative to the elements, uncorrected: 0.43 eV/f.u.

***

# Sr6AgAs2I3 (PBE-GGA, relaxed)
data_Sr6AgAs2I3
_chemical_formula_sum 'Sr12 Ag2 As4 I6'
_symmetry_space_group_name_H-M 'C 1 2/m 1'
_symmetry_Int_Tables_number 12
_cell_length_a 7.9815
_cell_length_b 13.9988
_cell_length_c 8.4870
_cell_angle_alpha 90.00
_cell_angle_beta 108.57
_cell_angle_gamma 90.00
loop_
_symmetry_equiv_pos_as_xyz
'x,y,z'
'-x,-y,-z'
'-x,y,-z'
'x,-y,z'
'x+1/2,y+1/2,z'
'-x+1/2,-y+1/2,-z'
'-x+1/2,y+1/2,-z'
'x+1/2,-y+1/2,z'
loop_
_atom_site_label
_atom_site_type_symbol
_atom_site_fract_x
_atom_site_fract_y
_atom_site_fract_z
Sr1 Sr 0.2250 0.0000 0.2054
Sr2 Sr 0.2375 0.3272 0.2020
Ag1 Ag 0.0000 0.5000 0.0000
As1 As 0.0000 0.1647 0.0000
I1 I 0.0000 0.0000 0.5000
I2 I 0.0000 0.3304 0.5000
# DOS at the Fermi energy: 9.8 states/eV/cell
# Energy relative to the elements, uncorrected: -13.87 eV/f.u.

***

# AgTe2AsI (PBE-GGA, relaxed)
data_AgTe2AsI
_chemical_formula_sum 'Ag1 Te2 As1 I1'
_symmetry_space_group_name_H-M 'P 4/m m m'
_symmetry_Int_Tables_number 123
_symmetry_space_group_name_Hall '-P 4 2'
_cell_length_a 5.5247
_cell_length_b 5.5247
_cell_length_c 5.6032
_cell_angle_alpha 90.00
_cell_angle_beta 90.00
_cell_angle_gamma 90.00
loop_
_atom_site_label
_atom_site_type_symbol
_atom_site_fract_x
_atom_site_fract_y
_atom_site_fract_z
Ag1 Ag 0.0000 0.0000 0.0000
Te1 Te 0.0000 0.5000 0.5000
As1 As 0.5000 0.5000 0.5000
I1 I 0.5000 0.5000 0.0000
# DOS at the Fermi energy: 7.2 states/eV/cell
# Energy relative to the elements, uncorrected: 2.64 eV/f.u.
# Energy above the most stable polymorph in this dataset: 0.0000 eV/atom